# 1
Ga3Sn: optimized geometry, PBEsol.

Values from the calculation:
The calculation puts the formation energy at 0.0443 eV per atom.

Cell lengths 4.318, 4.318, 4.318 Å; angles 90.00, 90.00, 90.00 degrees
Element x y z (fractional)
Ga1 0.000 0.000 0.500
Ga2 0.000 0.500 0.000
Ga3 0.500 0.000 0.000
Sn1 0.500 0.500 0.500

# 2
Na4Ca2SiAs4: optimized geometry, PBEsol.

Values from the calculation:
For the formation energy (no corrections), the calculation gives -0.69 eV per atom.

Cell lengths 9.337, 9.337, 7.071 Å; angles 91.20, 91.20, 119.70 degrees
Element x y z (fractional)
Na1 0.060 0.354 0.472
Na2 0.073 0.927 0.500
Na3 0.158 0.688 0.785
Na4 0.347 0.499 0.948
Na5 0.354 0.060 0.972
Na6 0.499 0.347 0.448
Na7 0.688 0.158 0.285
Na8 0.927 0.073 0.000
Ca1 0.260 0.737 0.284
Ca2 0.693 0.738 0.289
Ca3 0.737 0.260 0.784
Ca4 0.738 0.693 0.789
Si1 0.542 0.874 0.670
Si2 0.874 0.542 0.170
As1 0.016 0.825 0.082
As2 0.020 0.412 0.064
As3 0.411 0.598 0.543
As4 0.412 0.020 0.564
As5 0.547 0.871 0.008
As6 0.598 0.411 0.043
As7 0.825 0.016 0.582
As8 0.871 0.547 0.508

# 3
Ba5Al: optimized geometry, PBEsol.

Values from the calculation:
The calculation puts the formation energy at -0.0070 eV per atom.

Cell lengths 4.204, 4.204, 16.893 Å; angles 90.00, 90.00, 90.00 degrees
Element x y z (fractional)
Ba1 0.000 0.000 0.000
Ba2 0.000 0.000 0.390
Ba3 0.000 0.000 0.610
Ba4 0.500 0.500 0.191
Ba5 0.500 0.500 0.809
Al1 0.500 0.500 0.500

# 4
SiPtN2: optimized geometry, PBEsol.

Values from the calculation:
For the formation energy (no corrections), the calculation gives -0.45 eV per atom.

Cell lengths 6.169, 6.169, 6.169 Å; angles 25.85, 25.85, 25.85 degrees
Element x y z (fractional)
Si1 0.000 0.000 0.000
Pt1 0.500 0.500 0.500
N1 0.389 0.389 0.389
N2 0.611 0.611 0.611

# 5
LiCa2W: optimized geometry, PBEsol.

Values from the calculation:
The calculation puts the formation energy at 0.7859 eV per atom.

Cell lengths 2.913, 5.308, 5.810 Å; angles 90.00, 90.00, 90.00 degrees
Element x y z (fractional)
Li1 0.000 0.000 0.000
Ca1 0.500 0.000 0.560
Ca2 0.500 0.500 0.212
W1 0.000 0.500 0.720

# 6
ZnCrCd4: optimized geometry, PBEsol.

Values from the calculation:
The calculation puts the formation energy at 0.4205 eV per atom.

Cell lengths 5.540, 5.540, 5.540 Å; angles 60.00, 60.00, 60.00 degrees
Element x y z (fractional)
Zn1 0.000 0.000 0.000
Cr1 0.250 0.250 0.250
Cd1 0.126 0.625 0.625
Cd2 0.625 0.126 0.625
Cd3 0.625 0.625 0.126
Cd4 0.625 0.625 0.625

# 7
KLa2Ag: optimized geometry, PBEsol.

Values from the calculation:
The calculation puts the formation energy at 0.3399 eV per atom.

Cell lengths 6.917, 6.917, 3.458 Å; angles 102.94, 102.94, 121.91 degrees
Element x y z (fractional)
K1 0.000 0.000 0.000
La1 0.000 0.500 0.500
La2 0.500 0.000 0.500
Ag1 0.500 0.500 0.000

# 8
RuPtS2: optimized geometry, PBEsol.

Values from the calculation:
For the formation energy (no corrections), the calculation gives 0.16 eV per atom.

Cell lengths 7.399, 7.399, 7.399 Å; angles 25.88, 25.88, 25.88 degrees
Element x y z (fractional)
Ru1 0.000 0.000 0.000
Pt1 0.500 0.500 0.500
S1 0.102 0.102 0.102
S2 0.898 0.898 0.898

# 9
BaSrCo2H: optimized geometry, PBEsol.

Cell lengths 5.360, 5.360, 4.529 Å; angles 90.00, 90.00, 90.00 degrees
Element x y z (fractional)
Ba1 0.000 0.000 0.000
Sr1 0.500 0.500 0.500
Co1 0.000 0.500 0.500
Co2 0.500 0.000 0.500
H1 0.500 0.500 0.000

# 10
NaYGa3: optimized geometry, PBEsol.

Values from the calculation:
The calculation puts the formation energy at 0.4900 eV per atom.

Cell lengths 5.461, 5.461, 5.461 Å; angles 90.00, 90.00, 90.00 degrees
Element x y z (fractional)
Na1 0.000 0.000 0.000
Y1 0.500 0.500 0.500
Ga1 0.000 0.500 0.500
Ga2 0.500 0.000 0.500
Ga3 0.500 0.500 0.000

# 11
Y2AsSe: optimized geometry, PBEsol.

Values from the calculation:
For the formation energy (no corrections), the calculation gives -1.79 eV per atom.

Cell lengths 7.016, 7.016, 7.016 Å; angles 33.51, 33.51, 33.51 degrees
Element x y z (fractional)
Y1 0.247 0.247 0.247
Y2 0.753 0.753 0.753
As1 0.500 0.500 0.500
Se1 0.000 0.000 0.000

# 12
Co2CuNi: optimized geometry, PBEsol.

Values from the calculation:
The calculation puts the formation energy at 0.0343 eV per atom.

Cell lengths 8.198, 8.198, 8.198 Å; angles 17.25, 17.25, 17.25 degrees
Element x y z (fractional)
Co1 0.000 0.000 0.000
Co2 0.254 0.254 0.254
Cu1 0.501 0.501 0.501
Ni1 0.749 0.749 0.749

# 13
PRhCl2: optimized geometry, PBEsol.

Values from the calculation:
For the formation energy (no corrections), the calculation gives -0.40 eV per atom.

Cell lengths 7.955, 7.955, 7.955 Å; angles 24.47, 24.47, 24.47 degrees
Element x y z (fractional)
P1 0.000 0.000 0.000
Rh1 0.714 0.714 0.714
Cl1 0.253 0.253 0.253
Cl2 0.450 0.450 0.450

# 14
YAs2Pb: optimized geometry, PBEsol.

Values from the calculation:
The calculation puts the formation energy at -0.5414 eV per atom.

Cell lengths 6.024, 6.024, 6.024 Å; angles 139.60, 139.60, 58.45 degrees
Element x y z (fractional)
Y1 0.000 0.000 0.000
As1 0.500 0.500 0.000
As2 0.750 0.250 0.500
Pb1 0.250 0.750 0.500

# 15
LiTc2Ru: optimized geometry, PBEsol.

Values from the calculation:
The calculation puts the formation energy at 0.1990 eV per atom.

Cell lengths 4.932, 4.932, 4.932 Å; angles 144.59, 130.69, 62.16 degrees
Element x y z (fractional)
Li1 0.000 0.000 0.000
Tc1 0.252 0.752 0.500
Tc2 0.748 0.248 0.500
Ru1 0.500 0.500 0.000

# 16
NiSe3: optimized geometry, PBEsol.

Values from the calculation:
For the formation energy (no corrections), the calculation gives 0.16 eV per atom.

Cell lengths 2.764, 2.764, 9.776 Å; angles 90.00, 90.00, 90.00 degrees
Element x y z (fractional)
Ni1 0.000 0.000 0.000
Se1 0.000 0.000 0.500
Se2 0.500 0.500 0.173
Se3 0.500 0.500 0.827

# 17
ScCu2Pd: optimized geometry, PBEsol.

Values from the calculation:
The calculation puts the formation energy at -0.3659 eV per atom.

Cell lengths 4.326, 4.326, 4.326 Å; angles 60.00, 60.00, 60.00 degrees
Element x y z (fractional)
Sc1 0.000 0.000 0.000
Cu1 0.250 0.250 0.250
Cu2 0.750 0.750 0.750
Pd1 0.500 0.500 0.500

# 18
LaBeAu2: optimized geometry, PBEsol.

Values from the calculation:
The calculation puts the formation energy at -0.3536 eV per atom.

Cell lengths 5.008, 5.008, 5.008 Å; angles 131.82, 113.83, 85.94 degrees
Element x y z (fractional)
La1 0.000 0.000 0.000
Be1 0.500 0.500 0.000
Au1 0.308 0.808 0.500
Au2 0.692 0.192 0.500

# 19
Mg3Mo: optimized geometry, PBEsol.

Values from the calculation:
The calculation puts the formation energy at 0.4800 eV per atom.

Cell lengths 4.789, 5.866, 5.332 Å; angles 90.00, 90.00, 90.00 degrees
Element x y z (fractional)
Mg1 0.250 0.001 0.162
Mg2 0.250 0.499 0.162
Mg3 0.250 0.750 0.647
Mg4 0.750 0.250 0.353
Mg5 0.750 0.501 0.838
Mg6 0.750 0.999 0.838
Mo1 0.250 0.250 0.646
Mo2 0.750 0.750 0.354

# 20
TiTe2Ru: optimized geometry, PBEsol.

Values from the calculation:
For the formation energy (no corrections), the calculation gives -0.08 eV per atom.

Cell lengths 4.685, 4.685, 4.685 Å; angles 60.00, 60.00, 60.00 degrees
Element x y z (fractional)
Ti1 0.000 0.000 0.000
Te1 0.250 0.250 0.250
Te2 0.750 0.750 0.750
Ru1 0.500 0.500 0.500

Uncorrected energy values, unit eV/cell, following the record order: -14.1 -87.2 -14.9 -31.6 -16.9 -14.1 -13.8 -25.2 -17.4 -15.8 -29.7 -25.8 -19.5 -23.2 -33.9 -17.1 -22.7 -18.6 -30.0 -25.9.
Total magnetic moment values, unit μB per cell, following the record order: 0.00 0.00 0.01 0.00 0.00 4.35 0.00 0.00 3.09 0.01 0.00 3.67 0.00 0.00 0.00 0.00 0.00 0.00 3.30 0.01.